Entry A
This record from the Alexandria database describes a relaxed NbCd2Mo crystal. The functional is PBE-GGA.

The space group is I-42d (No. 122) and the conventional cell measures 7.7111, 7.7111 and 5.4330 Å, with angles of 90.00, 90.00 and 90.00 degrees. The distinct sites, in fractional coordinates, are Nb at (0.0000, 0.0000, 0.0000), Cd at (0.2424, 0.2500, 0.6250) and Mo at (0.0000, 0.0000, 0.5000).

The theoretical density comes out at 8.51 g cm⁻³.


Entry B
This record from the Alexandria database describes a relaxed NbCd2Mo crystal. The functional is PBE-GGA.

The space group is Fm-3m (No. 225) and the conventional cell measures 6.6681, 6.6681 and 6.6681 Å, with angles of 90.00, 90.00 and 90.00 degrees. The distinct sites, in fractional coordinates, are Nb at (0.0000, 0.0000, 0.0000), Cd at (0.2500, 0.2500, 0.2500) and Mo at (0.0000, 0.0000, 0.5000).

The theoretical density comes out at 9.27 g cm⁻³.


Best to worst by energy: entry B, entry A.